[1]
Be2Fe2Ag | PBE | optimized geometry

Lattice parameters (Å, degrees): 6.278 6.278 2.830 90.00 90.00 90.00
Positions (direct):
Be  0.122  0.378  0.000
Be  0.378  0.878  0.000
Be  0.622  0.122  0.000
Be  0.878  0.622  0.000
Fe  0.165  0.665  0.500
Fe  0.335  0.165  0.500
Fe  0.665  0.835  0.500
Fe  0.835  0.335  0.500
Ag  0.000  0.000  0.000
Ag  0.500  0.500  0.000

Values from the calculation:
spin magnetization: 8.111 μB/cell
energy relative to the elements: 11.4 kJ per mole of atoms
D(E_F): 0.72 states/eV/atom
uncorrected energy: -5.33 eV per atom
ΔE to the lowest computed polymorph: 0.0 meV per atom
symmetry: No. 127
calculated volume: 112 Å³ per cell

---

[2]
Be2Fe2Ag | PBE | optimized geometry

Lattice parameters (Å, degrees): 6.803 6.803 2.519 90.00 90.00 90.00
Positions (direct):
Be  0.175  0.325  0.000
Be  0.325  0.825  0.000
Be  0.675  0.175  0.000
Be  0.825  0.675  0.000
Fe  0.119  0.619  0.500
Fe  0.381  0.119  0.500
Fe  0.619  0.881  0.500
Fe  0.881  0.381  0.500
Ag  0.000  0.000  0.500
Ag  0.500  0.500  0.500

Values from the calculation:
spin magnetization: 8.131 μB/cell
energy relative to the elements: 19.5 kJ per mole of atoms
D(E_F): 0.65 states/eV/atom
uncorrected energy: -5.24 eV per atom
ΔE to the lowest computed polymorph: 83.7 meV per atom
symmetry: No. 127
calculated volume: 117 Å³ per cell

---

[3]
BeFe2AgGe | PBE | optimized geometry

Lattice parameters (Å, degrees): 4.080 4.080 4.304 90.00 90.00 90.00
Positions (direct):
Be  0.000  0.000  0.000
Fe  0.000  0.500  0.000
Fe  0.500  0.000  0.000
Ag  0.000  0.000  0.500
Ge  0.500  0.500  0.500

Values from the calculation:
spin magnetization: 4.784 μB/cell
energy relative to the elements: 56.5 kJ per mole of atoms
D(E_F): 0.85 states/eV/atom
uncorrected energy: -5.04 eV per atom
symmetry: No. 123
calculated volume: 72 Å³ per cell